Entry 1:
Tb2Ce2Pt15: optimized geometry, PBE-GGA.

abc: 7.1186 7.1186 7.1186
angles: 81.99 81.99 81.99
Fractional coordinates of all 19 atoms:
1 Tb 0.1355 0.1355 0.1355
2 Tb 0.8645 0.8645 0.8645
3 Ce 0.4004 0.4004 0.4004
4 Ce 0.5996 0.5996 0.5996
5 Pt 0.0000 0.5000 0.5000
6 Pt 0.1561 0.1561 0.6665
7 Pt 0.1561 0.6665 0.1561
8 Pt 0.1771 0.5000 0.8229
9 Pt 0.1771 0.8229 0.5000
10 Pt 0.3335 0.8439 0.8439
11 Pt 0.5000 0.0000 0.5000
12 Pt 0.5000 0.1771 0.8229
13 Pt 0.5000 0.5000 0.0000
14 Pt 0.5000 0.8229 0.1771
15 Pt 0.6665 0.1561 0.1561
16 Pt 0.8229 0.1771 0.5000
17 Pt 0.8229 0.5000 0.1771
18 Pt 0.8439 0.3335 0.8439
19 Pt 0.8439 0.8439 0.3335

## Properties
- Space group: No. 166

Entry 2:
TbCe3Pt2: optimized geometry, PBE-GGA.

abc: 8.6124 8.6124 8.6201
angles: 117.07 117.07 30.29
Fractional coordinates of all 12 atoms:
1 Tb 0.1113 0.1113 0.0299
2 Tb 0.8887 0.8887 0.9701
3 Ce 0.0651 0.0651 0.4345
4 Ce 0.2887 0.2887 0.6150
5 Ce 0.3725 0.3725 0.3029
6 Ce 0.6275 0.6275 0.6971
7 Ce 0.7113 0.7113 0.3850
8 Ce 0.9349 0.9349 0.5655
9 Pt 0.2469 0.2469 0.8957
10 Pt 0.4824 0.4824 0.8206
11 Pt 0.5176 0.5176 0.1794
12 Pt 0.7531 0.7531 0.1043

## Properties
- Space group: No. 12

Entry 3:
TbCe2Pt: optimized geometry, PBE-GGA.

abc: 10.4785 10.4785 10.4785
angles: 20.16 20.16 20.16
Fractional coordinates of all 4 atoms:
1 Tb 0.0000 0.0000 0.0000
2 Ce 0.1038 0.1038 0.1038
3 Ce 0.8962 0.8962 0.8962
4 Pt 0.5000 0.5000 0.5000

## Properties
- Space group: No. 166
- E above lowest polymorph: 246 meV per atom

no.,final energy (eV/atom)
1,-6.583
2,-6.476
3,-5.825